# PmAgF, relaxed, DFT PBE-GGA
# Electronic total energy = -4.884 eV/atom
# Spin magnetization = 0.00 μB/f.u.
# Formation energy from raw total energies = -1.7267 eV/atom
data_PmAgF
_cell_length_a 4.0943
_cell_length_b 4.0943
_cell_length_c 26.4878
_cell_angle_alpha 90.00
_cell_angle_beta 90.00
_cell_angle_gamma 120.00
_space_group_name_H-M_alt 'R -3 m'
_space_group_IT_number 166
_space_group_name_Hall '-R 3 2"'
loop_
_atom_site_label
_atom_site_type_symbol
_atom_site_fract_x
_atom_site_fract_y
_atom_site_fract_z
Pm1 Pm 0.0000 0.0000 0.2320
Ag1 Ag 0.0000 0.0000 0.3626
F1 F 0.0000 0.0000 0.1408